(1)
Computed, not measured: a relaxed SrOsO3 crystal at the PBE level of DFT.

calculated total energy: -138.482 eV for the cell shown
M_tot: 0.000 μB per formula unit

Geometry as CIF:
```
data_SrOsO3
_space_group_name_H-M_alt 'P 1'
_space_group_IT_number 1
_cell_length_a 5.131
_cell_length_b 8.719
_cell_length_c 6.494
_cell_angle_alpha 90.00
_cell_angle_beta 90.00
_cell_angle_gamma 90.00
loop_
_space_group_symop_operation_xyz
'x,y,z'
loop_
_atom_site_label
_atom_site_type_symbol
_atom_site_fract_x
_atom_site_fract_y
_atom_site_fract_z
Sr1 Sr 0.000 0.000 0.000
Sr2 Sr 0.000 0.500 0.000
Sr3 Sr 0.500 0.000 0.500
Sr4 Sr 0.500 0.500 0.500
Os1 Os 0.016 0.250 0.467
Os2 Os 0.484 0.750 0.967
Os3 Os 0.516 0.250 0.033
Os4 Os 0.984 0.750 0.533
O1 O 0.080 0.094 0.648
O2 O 0.080 0.406 0.648
O3 O 0.160 0.250 0.186
O4 O 0.340 0.750 0.686
O5 O 0.420 0.594 0.148
O6 O 0.420 0.906 0.148
O7 O 0.580 0.094 0.852
O8 O 0.580 0.406 0.852
O9 O 0.660 0.250 0.314
O10 O 0.840 0.750 0.814
O11 O 0.920 0.594 0.352
O12 O 0.920 0.906 0.352
```

---

(2)
Computed, not measured: a relaxed Sr4Os4O11 crystal at the PBE level of DFT.

calculated total energy: -136.084 eV for the cell shown
M_tot: 2.838 μB per formula unit

Geometry as CIF:
```
data_Sr4Os4O11
_space_group_name_H-M_alt 'P 1'
_space_group_IT_number 1
_cell_length_a 5.558
_cell_length_b 7.814
_cell_length_c 5.571
_cell_angle_alpha 90.00
_cell_angle_beta 90.03
_cell_angle_gamma 90.00
loop_
_space_group_symop_operation_xyz
'x,y,z'
loop_
_atom_site_label
_atom_site_type_symbol
_atom_site_fract_x
_atom_site_fract_y
_atom_site_fract_z
Sr1 Sr 0.000 0.000 0.000
Sr2 Sr 0.042 0.500 0.007
Sr3 Sr 0.493 0.000 0.495
Sr4 Sr 0.544 0.500 0.505
Os1 Os 0.022 0.272 0.498
Os2 Os 0.022 0.728 0.498
Os3 Os 0.522 0.254 0.998
Os4 Os 0.522 0.746 0.998
O1 O 0.029 0.000 0.557
O2 O 0.236 0.230 0.217
O3 O 0.236 0.770 0.217
O4 O 0.300 0.285 0.717
O5 O 0.300 0.715 0.717
O6 O 0.517 0.500 0.063
O7 O 0.526 0.000 0.945
O8 O 0.741 0.230 0.283
O9 O 0.741 0.770 0.283
O10 O 0.804 0.286 0.778
O11 O 0.804 0.714 0.778
```

---

(3)
Computed, not measured: a relaxed Sr2OsO4 crystal at the PBE level of DFT.

calculated total energy: -97.240 eV for the cell shown
ΔE to the lowest computed polymorph: 0.00 eV/f.u.
M_tot: 0.039 μB per formula unit

Geometry as CIF:
```
data_Sr2OsO4
_space_group_name_H-M_alt 'P 1'
_space_group_IT_number 1
_cell_length_a 6.953
_cell_length_b 6.953
_cell_length_c 5.506
_cell_angle_alpha 90.00
_cell_angle_beta 90.00
_cell_angle_gamma 133.48
loop_
_space_group_symop_operation_xyz
'x,y,z'
loop_
_atom_site_label
_atom_site_type_symbol
_atom_site_fract_x
_atom_site_fract_y
_atom_site_fract_z
Sr1 Sr 0.148 0.852 0.998
Sr2 Sr 0.352 0.648 0.498
Sr3 Sr 0.648 0.352 0.502
Sr4 Sr 0.852 0.148 0.002
Os1 Os 0.000 0.000 0.500
Os2 Os 0.500 0.500 0.000
O1 O 0.164 0.836 0.507
O2 O 0.248 0.252 0.750
O3 O 0.252 0.248 0.250
O4 O 0.336 0.664 0.007
O5 O 0.664 0.336 0.993
O6 O 0.748 0.752 0.750
O7 O 0.752 0.748 0.250
O8 O 0.836 0.164 0.493
```

---

(4)
Computed, not measured: a relaxed Sr2OsO4 crystal at the PBE level of DFT.

calculated total energy: -90.936 eV for the cell shown
ΔE to the lowest computed polymorph: 3.15 eV/f.u.
M_tot: 0.833 μB per formula unit

Geometry as CIF:
```
data_Sr2OsO4
_space_group_name_H-M_alt 'P 1'
_space_group_IT_number 1
_cell_length_a 6.833
_cell_length_b 6.833
_cell_length_c 6.833
_cell_angle_alpha 60.00
_cell_angle_beta 60.00
_cell_angle_gamma 60.00
loop_
_space_group_symop_operation_xyz
'x,y,z'
loop_
_atom_site_label
_atom_site_type_symbol
_atom_site_fract_x
_atom_site_fract_y
_atom_site_fract_z
Sr1 Sr 0.000 0.000 0.000
Sr2 Sr 0.000 0.000 0.500
Sr3 Sr 0.000 0.500 0.000
Sr4 Sr 0.500 0.000 0.000
Os1 Os 0.375 0.375 0.375
Os2 Os 0.625 0.625 0.625
O1 O 0.260 0.260 0.260
O2 O 0.260 0.260 0.721
O3 O 0.260 0.721 0.260
O4 O 0.279 0.740 0.740
O5 O 0.721 0.260 0.260
O6 O 0.740 0.279 0.740
O7 O 0.740 0.740 0.279
O8 O 0.740 0.740 0.740
```

---

(5)
Computed, not measured: a relaxed SrOsO3 crystal at the PBE level of DFT.

calculated total energy: -73.562 eV for the cell shown
M_tot: 0.013 μB per formula unit

Geometry as CIF:
```
data_SrOsO3
_space_group_name_H-M_alt 'P 1'
_space_group_IT_number 1
_cell_length_a 7.080
_cell_length_b 7.080
_cell_length_c 4.240
_cell_angle_alpha 102.38
_cell_angle_beta 102.38
_cell_angle_gamma 47.87
loop_
_space_group_symop_operation_xyz
'x,y,z'
loop_
_atom_site_label
_atom_site_type_symbol
_atom_site_fract_x
_atom_site_fract_y
_atom_site_fract_z
Sr1 Sr 0.164 0.164 0.205
Sr2 Sr 0.836 0.836 0.795
Os1 Os 0.436 0.436 0.273
Os2 Os 0.564 0.564 0.727
O1 O 0.103 0.574 0.308
O2 O 0.282 0.718 0.000
O3 O 0.426 0.897 0.692
O4 O 0.574 0.103 0.308
O5 O 0.718 0.282 0.000
O6 O 0.897 0.426 0.692
```

---

(6)
Computed, not measured: a relaxed Sr4Os4O11 crystal at the PBE level of DFT.

calculated total energy: -136.094 eV for the cell shown
M_tot: 1.831 μB per formula unit

Geometry as CIF:
```
data_Sr4Os4O11
_space_group_name_H-M_alt 'P 1'
_space_group_IT_number 1
_cell_length_a 5.505
_cell_length_b 5.554
_cell_length_c 7.851
_cell_angle_alpha 90.11
_cell_angle_beta 90.94
_cell_angle_gamma 90.54
loop_
_space_group_symop_operation_xyz
'x,y,z'
loop_
_atom_site_label
_atom_site_type_symbol
_atom_site_fract_x
_atom_site_fract_y
_atom_site_fract_z
Sr1 Sr 0.000 0.000 0.000
Sr2 Sr 0.029 0.004 0.486
Sr3 Sr 0.524 0.477 0.997
Sr4 Sr 0.555 0.476 0.482
Os1 Os 0.029 0.496 0.740
Os2 Os 0.055 0.518 0.239
Os3 Os 0.499 0.964 0.239
Os4 Os 0.520 0.986 0.740
O1 O 0.033 0.547 0.490
O2 O 0.043 0.454 0.990
O3 O 0.227 0.788 0.770
O4 O 0.279 0.243 0.260
O5 O 0.317 0.283 0.703
O6 O 0.508 0.029 0.990
O7 O 0.519 0.930 0.491
O8 O 0.732 0.698 0.777
O9 O 0.769 0.731 0.218
O10 O 0.780 0.224 0.261
O11 O 0.815 0.201 0.721
```

---

(7)
Computed, not measured: a relaxed Sr3Os2O8 crystal at the PBE level of DFT.

calculated total energy: -88.973 eV for the cell shown
M_tot: 2.000 μB per formula unit

Geometry as CIF:
```
data_Sr3Os2O8
_space_group_name_H-M_alt 'P 1'
_space_group_IT_number 1
_cell_length_a 7.624
_cell_length_b 7.624
_cell_length_c 7.624
_cell_angle_alpha 43.29
_cell_angle_beta 43.29
_cell_angle_gamma 43.29
loop_
_space_group_symop_operation_xyz
'x,y,z'
loop_
_atom_site_label
_atom_site_type_symbol
_atom_site_fract_x
_atom_site_fract_y
_atom_site_fract_z
Sr1 Sr 0.000 0.000 0.000
Sr2 Sr 0.199 0.199 0.199
Sr3 Sr 0.801 0.801 0.801
Os1 Os 0.401 0.401 0.401
Os2 Os 0.599 0.599 0.599
O1 O 0.214 0.737 0.737
O2 O 0.263 0.263 0.786
O3 O 0.263 0.786 0.263
O4 O 0.312 0.312 0.312
O5 O 0.688 0.688 0.688
O6 O 0.737 0.214 0.737
O7 O 0.737 0.737 0.214
O8 O 0.786 0.263 0.263
```

---

(8)
Computed, not measured: a relaxed Sr2OsO6 crystal at the PBE level of DFT.

calculated total energy: -122.028 eV for the cell shown
M_tot: 0.000 μB per formula unit

Geometry as CIF:
```
data_Sr2OsO6
_space_group_name_H-M_alt 'P 1'
_space_group_IT_number 1
_cell_length_a 5.209
_cell_length_b 5.209
_cell_length_c 10.375
_cell_angle_alpha 90.00
_cell_angle_beta 90.00
_cell_angle_gamma 90.00
loop_
_space_group_symop_operation_xyz
'x,y,z'
loop_
_atom_site_label
_atom_site_type_symbol
_atom_site_fract_x
_atom_site_fract_y
_atom_site_fract_z
Sr1 Sr 0.000 0.000 0.168
Sr2 Sr 0.000 0.000 0.832
Sr3 Sr 0.500 0.500 0.332
Sr4 Sr 0.500 0.500 0.668
Os1 Os 0.000 0.000 0.500
Os2 Os 0.500 0.500 0.000
O1 O 0.176 0.176 0.370
O2 O 0.176 0.176 0.630
O3 O 0.248 0.248 0.000
O4 O 0.252 0.748 0.500
O5 O 0.324 0.676 0.130
O6 O 0.324 0.676 0.870
O7 O 0.676 0.324 0.130
O8 O 0.676 0.324 0.870
O9 O 0.748 0.252 0.500
O10 O 0.752 0.752 0.000
O11 O 0.824 0.824 0.370
O12 O 0.824 0.824 0.630
```

---

Question: Number 2 is which compound?
Answer: Sr4Os4O11

---

Question: calculated total energy of number 3 (Sr2OsO4)?
Answer: -97.240 eV for the cell shown

---

Repeat the fourth record exactly.
Computed, not measured: a relaxed Sr2OsO4 crystal at the PBE level of DFT.

calculated total energy: -90.936 eV for the cell shown
ΔE to the lowest computed polymorph: 3.15 eV/f.u.
M_tot: 0.833 μB per formula unit

Geometry as CIF:
```
data_Sr2OsO4
_space_group_name_H-M_alt 'P 1'
_space_group_IT_number 1
_cell_length_a 6.833
_cell_length_b 6.833
_cell_length_c 6.833
_cell_angle_alpha 60.00
_cell_angle_beta 60.00
_cell_angle_gamma 60.00
loop_
_space_group_symop_operation_xyz
'x,y,z'
loop_
_atom_site_label
_atom_site_type_symbol
_atom_site_fract_x
_atom_site_fract_y
_atom_site_fract_z
Sr1 Sr 0.000 0.000 0.000
Sr2 Sr 0.000 0.000 0.500
Sr3 Sr 0.000 0.500 0.000
Sr4 Sr 0.500 0.000 0.000
Os1 Os 0.375 0.375 0.375
Os2 Os 0.625 0.625 0.625
O1 O 0.260 0.260 0.260
O2 O 0.260 0.260 0.721
O3 O 0.260 0.721 0.260
O4 O 0.279 0.740 0.740
O5 O 0.721 0.260 0.260
O6 O 0.740 0.279 0.740
O7 O 0.740 0.740 0.279
O8 O 0.740 0.740 0.740
```

---

Question: Among the records above, which one has the highest M_tot?
Answer: number 2